# PBE-GGA Al2WAu, optimized geometry
# Uncorrected energy ... -5.943 eV per atom
# ΔH_f (0 K) ... -13.6 meV/atom
# Total magnetization ... 0.00 μB/cell
# E above lowest polymorph ... 114 meV/atom
data_Al2WAu
_cell_length_a 4.478
_cell_length_b 2.766
_cell_length_c 10.345
_cell_angle_alpha 90.00
_cell_angle_beta 90.00
_cell_angle_gamma 90.00
_space_group_name_H-M_alt 'A m m 2'
_space_group_IT_number 38
loop_
_space_group_symop_operation_xyz
'x,y,z'
'-x,-y,z'
'-x,y,z'
'x,-y,z'
'x,y+1/2,z+1/2'
'-x,-y+1/2,z+1/2'
'-x,y+1/2,z+1/2'
'x,-y+1/2,z+1/2'
loop_
_atom_site_label
_atom_site_type_symbol
_atom_site_fract_x
_atom_site_fract_y
_atom_site_fract_z
Al1 Al 0.000 0.000 0.000
Al2 Al 0.500 0.000 0.160
W1 W 0.500 0.000 0.426
Au1 Au 0.000 0.000 0.749